# CrF3 GGA+U relaxed
# DOS at the Fermi energy (states/eV per cell): 16.401
# ρ (g/cm3): 2.8
# Total energy (eV per atom): -4.95
# Total magnetization (Bohr magnetons per cell): 9.00
data_CrF3
_symmetry_space_group_name_H-M 'R -3 m'
_symmetry_Int_Tables_number 166
_symmetry_space_group_name_Hall '-R 3 2"'
_cell_length_a 3.3485
_cell_length_b 3.3485
_cell_length_c 19.6852
_cell_angle_alpha 90.00
_cell_angle_beta 90.00
_cell_angle_gamma 120.00
loop_
_atom_site_label
_atom_site_type_symbol
_atom_site_fract_x
_atom_site_fract_y
_atom_site_fract_z
Cr1 Cr 0.0000 0.0000 0.0000
F1 F 0.0000 0.0000 0.3721
F2 F 0.0000 0.0000 0.5000